{
  "formula": "KAcMnF6",
  "functional": "PBE+U",
  "state": "optimized geometry",
  "e_tot_ev_per_atom": -5.97,
  "volume_a3_per_atom": 19.12,
  "lattice": [[6.301, 0.000, 0.000], [-3.151, 5.457, 0.000], [0.000, 0.000, 10.006]],
  "species": ["F", "F", "F", "F", "F", "F", "F", "F", "F", "F", "F", "F", "K", "K", "Ac", "Ac", "Mn", "Mn"],
  "fractional_positions": [[0.650, 0.618, 0.138], [0.382, 0.032, 0.138], [0.350, 0.968, 0.638], [0.650, 0.032, 0.362], [0.618, 0.650, 0.638], [0.968, 0.618, 0.362], [0.968, 0.350, 0.138], [0.350, 0.382, 0.862], [0.382, 0.350, 0.362], [0.032, 0.382, 0.638], [0.032, 0.650, 0.862], [0.618, 0.968, 0.862], [0.000, 0.000, 0.000], [0.000, 0.000, 0.500], [0.667, 0.333, 0.750], [0.333, 0.667, 0.250], [0.333, 0.667, 0.750], [0.667, 0.333, 0.250]]
}